First-principles (PBE) data for crystalline VSiP at its relaxed geometry, as listed in Alexandria.

POSCAR file:
```
VSiP
1.0
4.093 -1.611 0.000
4.093 1.611 0.000
-2.390 0.000 6.302
V Si P
2 2 2
Direct
0.000 0.000 0.000
0.607 0.607 0.683
0.552 0.552 0.298
0.873 0.873 0.492
0.336 0.336 0.748
0.741 0.741 0.094
```

energy relative to the elements, uncorrected	-1.13	eV per formula unit
E_tot	-21.080	eV/f.u.
V	13.9	A^3/atom